# LaVO4

An optimized crystal structure of LaVO4 (PBE+U, Alexandria via LeMat-Bulk).

```
LaVO4
1.0
7.3509 0.0000 0.0000
0.0000 6.8034 0.0035
0.0000 4.9226 6.8828
La V O
4 4 16
Direct
0.6537 0.1797 0.2210
0.1537 0.8203 0.2790
0.3463 0.8203 0.7790
0.8463 0.1797 0.7210
0.6634 0.6866 0.1997
0.1634 0.3134 0.3003
0.3366 0.3134 0.8003
0.8366 0.6866 0.6997
0.7181 0.3886 0.3842
0.2181 0.6114 0.1158
0.2819 0.6114 0.6158
0.7819 0.3886 0.8842
0.6030 0.6527 0.0195
0.1030 0.3473 0.4805
0.3970 0.3473 0.9805
0.8970 0.6527 0.5195
0.0038 0.8254 0.7516
0.5038 0.1746 0.7484
0.9962 0.1746 0.2484
0.4962 0.8254 0.2516
0.6543 0.8869 0.6126
0.1543 0.1131 0.8874
0.3457 0.1131 0.3874
0.8457 0.8869 0.1126
```

Symmetry   P2_1/c, No. 14
Total DFT energy (no corrections)   -8.09 eV per atom